Computed, not measured: crystalline CsRb2MoF8 at its relaxed geometry at the GGA+U level of DFT.

POSCAR file:
```
CsRb2MoF8
1.0
-2.4320 2.4128 3.3439
-0.3178 -5.9294 2.2736
7.6191 1.3440 4.5749
Cs Rb Mo F
1 2 1 8
Cartesian
3.8096 0.6720 2.2875 Cs
4.1902 -0.7763 6.1506 Rb
0.6791 -1.3963 4.0419 Rb
0.0000 0.0000 0.0000 Mo
0.7068 -4.4005 2.8710 F
5.8256 -1.9705 8.5387 F
-1.0805 1.3032 4.1724 F
4.1625 2.2279 7.3215 F
-0.9563 -0.2021 1.6539 F
5.9498 -3.4758 6.0201 F
2.5742 -2.6429 5.3217 F
2.2951 0.4702 4.8709 F
```

Properties
VASP energy, eV per atom: -4.668